1.
Below is a geometry-optimized BaReW structure, with properties calculated at the PBE-GGA level.

Unit cell a=4.690 b=4.690 c=4.690 alpha=60.00 beta=60.00 gamma=60.00
Fractional positions:
Ba  0.250  0.250  0.250
Re  0.000  0.000  0.000
W  0.750  0.750  0.750

Computed properties:
As for the space-group type: F-43m, No. 216. Its energy relative to the lowest polymorph listed for this composition is 0.000 eV/atom. For the size of the total moment, the calculation gives 0.1309 μB/atom.



2.
Below is a geometry-optimized BaZnRe2 structure, with properties calculated at the PBE-GGA level.

Unit cell a=4.797 b=4.797 c=4.797 alpha=60.00 beta=60.00 gamma=60.00
Fractional positions:
Ba  0.500  0.500  0.500
Re  0.000  0.000  0.000
Re  0.750  0.750  0.750
Zn  0.250  0.250  0.250

Computed properties:
As for the space-group type: F-43m, No. 216. For the total energy, the calculation gives -22.95 eV per cell. For the size of the total moment, the calculation gives 0.0006 μB/atom.



- Which value of size of the total moment does entry 2 give?
  0.0006 μB/atom



- Among the records above, which one has the highest size of the total moment?
  BaReW